Entry from Alexandria via LeMat-Bulk: a relaxed TbSnHgBi crystal (PBE-GGA).

- Offset from the most stable computed form: 170 meV/atom
- Total magnetization: 0.00 Bohr magnetons per cell
- ΔE_f: -0.23 eV per atom
- VASP energy: -3.44 eV/atom

```
data_TbSnHgBi
_cell_length_a 7.6634
_cell_length_b 7.6634
_cell_length_c 7.6634
_cell_angle_alpha 90.00
_cell_angle_beta 90.00
_cell_angle_gamma 90.00
_space_group_name_H-M_alt 'F -4 3 m'
_space_group_IT_number 216
_space_group_name_Hall 'F -4 2 3'
loop_
_atom_site_label
_atom_site_type_symbol
_atom_site_fract_x
_atom_site_fract_y
_atom_site_fract_z
_atom_site_occupancy
Tb1 Tb 0.0000 0.0000 0.0000 1
Sn1 Sn 0.0000 0.0000 0.5000 1
Hg1 Hg 0.2500 0.2500 0.2500 1
Bi1 Bi 0.2500 0.2500 0.7500 1
```

Entry from Alexandria via LeMat-Bulk: a relaxed Dy2CdPt crystal (PBE-GGA).

- Offset from the most stable computed form: 116 meV/atom
- Total magnetization: 0.00 Bohr magnetons per cell
- ΔE_f: -0.67 eV per atom
- VASP energy: -4.71 eV/atom

```
data_Dy2CdPt
_cell_length_a 4.0333
_cell_length_b 4.0333
_cell_length_c 23.4421
_cell_angle_alpha 90.00
_cell_angle_beta 90.00
_cell_angle_gamma 120.00
_space_group_name_H-M_alt 'R -3 m'
_space_group_IT_number 166
_space_group_name_Hall '-R 3 2"'
loop_
_atom_site_label
_atom_site_type_symbol
_atom_site_fract_x
_atom_site_fract_y
_atom_site_fract_z
_atom_site_occupancy
Dy1 Dy 0.0000 0.0000 0.2336 1
Cd1 Cd 0.0000 0.0000 0.0000 1
Pt1 Pt 0.0000 0.0000 0.5000 1
```

Entry from Alexandria via LeMat-Bulk: a relaxed La8HgGe3Te4 crystal (PBE-GGA).

- Total magnetization: 0.00 Bohr magnetons per cell
- Energy relative to the elements, uncorrected: -1192 meV/atom
- VASP energy: -5.33 eV/atom

```
data_La8HgGe3Te4
_cell_length_a 9.0053
_cell_length_b 9.0053
_cell_length_c 22.5343
_cell_angle_alpha 90.00
_cell_angle_beta 90.00
_cell_angle_gamma 120.00
_space_group_name_H-M_alt 'R -3 m'
_space_group_IT_number 166
_space_group_name_Hall '-R 3 2"'
loop_
_atom_site_label
_atom_site_type_symbol
_atom_site_fract_x
_atom_site_fract_y
_atom_site_fract_z
_atom_site_occupancy
La1 La 0.0000 0.0000 0.2414 1
La2 La 0.0121 0.5060 0.7551 1
Hg1 Hg 0.0000 0.0000 0.5000 1
Ge1 Ge 0.0000 0.5000 0.5000 1
Te1 Te 0.0000 0.0000 0.0000 1
Te2 Te 0.0000 0.5000 0.0000 1
```

Entry from Alexandria via LeMat-Bulk: a relaxed ReSiP2 crystal (PBE-GGA).

- Total magnetization: 0.00 Bohr magnetons per cell
- Energy relative to the elements, uncorrected: 479 meV/atom
- VASP energy: -6.69 eV/atom

```
data_ReSiP2
_cell_length_a 4.2669
_cell_length_b 4.2669
_cell_length_c 6.0103
_cell_angle_alpha 90.00
_cell_angle_beta 90.00
_cell_angle_gamma 90.00
_space_group_name_H-M_alt 'I -4 m 2'
_space_group_IT_number 119
_space_group_name_Hall 'I -4 -2'
loop_
_atom_site_label
_atom_site_type_symbol
_atom_site_fract_x
_atom_site_fract_y
_atom_site_fract_z
_atom_site_occupancy
Re1 Re 0.0000 0.0000 0.0000 1
Si1 Si 0.0000 0.5000 0.2500 1
P1 P 0.0000 0.0000 0.5000 1
P2 P 0.0000 0.5000 0.7500 1
```

Entry from Alexandria via LeMat-Bulk: a relaxed PmDy3Y6Er2 crystal (PBE-GGA).

- Total magnetization: 0.00 Bohr magnetons per cell
- ΔE_f: 0.02 eV per atom
- VASP energy: -5.52 eV/atom

```
data_PmDy3Y6Er2
_cell_length_a 6.1665
_cell_length_b 10.6688
_cell_length_c 11.8003
_cell_angle_alpha 90.00
_cell_angle_beta 99.97
_cell_angle_gamma 90.00
_space_group_name_H-M_alt 'C 1 2/m 1'
_space_group_IT_number 12
_space_group_name_Hall '-C 2y'
loop_
_atom_site_label
_atom_site_type_symbol
_atom_site_fract_x
_atom_site_fract_y
_atom_site_fract_z
_atom_site_occupancy
Pm1 Pm 0.0000 0.0000 0.0000 1
Dy1 Dy 0.0000 0.1670 0.5000 1
Dy2 Dy 0.0000 0.5000 0.5000 1
Y1 Y 0.2491 0.3330 0.7496 1
Y2 Y 0.2501 0.0000 0.7497 1
Er1 Er 0.0000 0.3333 0.0000 1
```